Entry from Alexandria: a geometry-optimized Eu2GaP structure (PBE).

Unit cell a=4.101 b=4.101 c=9.914 alpha=78.06 beta=78.06 gamma=60.00
Each line ends with the local moment (μB).
Fractional coordinates of all 4 atoms:
Eu: 0.889 0.889 0.332  6.83
Eu: 0.111 0.111 0.668  6.83
Ga: 0.000 0.000 0.000  0.06
P: 0.500 0.500 0.500  -0.10

Formation energy from the elements ... -0.45 eV/atom
Fermi-level density of states ... 3.741 states/eV/atom
SG ... R-3m, No. 166
Final energy ... -7.6954 eV/atom